# 1
! ReTeO2F | Alexandria | PBE | relaxed; values from VASP
&SYSTEM
  ibrav = 0, nat = 5, ntyp = 4
/
ATOMIC_SPECIES
Re 186.21 Re.upf
Te 127.60 Te.upf
O 16.00 O.upf
F 19.00 F.upf
ATOMIC_POSITIONS angstrom
Re 0.000 0.000 0.000
Te 1.862 1.862 3.401
O 0.000 1.862 0.000
O 1.862 0.000 0.000
F 0.000 0.000 3.401
CELL_PARAMETERS angstrom
3.725 0.000 0.000
0.000 3.725 0.000
0.000 0.000 6.802
! energy relative to the elements, uncorrected = -0.71 eV/atom
! DOS at the Fermi energy = 2.85 states/eV per cell
! M_tot = 1.5 μB/f.u.

# 2
! NaY3F | Alexandria | PBE | relaxed; values from VASP
&SYSTEM
  ibrav = 0, nat = 5, ntyp = 3
/
ATOMIC_SPECIES
Y 88.91 Y.upf
Na 22.99 Na.upf
F 19.00 F.upf
ATOMIC_POSITIONS angstrom
Y -1.486 -1.430 -1.464
Y 1.089 -2.084 0.931
Y -1.732 -0.084 1.841
Na -2.129 -3.598 1.307
F 0.000 0.000 0.000
CELL_PARAMETERS angstrom
-3.465 -0.168 3.681
-2.972 -2.861 -2.927
2.179 -4.168 1.861
! energy relative to the elements, uncorrected = -0.63 eV/atom
! DOS at the Fermi energy = 7.06 states/eV per cell
! M_tot = 0.0 μB/f.u.

# 3
! GaAgPb | Alexandria | PBE | relaxed; values from VASP
&SYSTEM
  ibrav = 0, nat = 6, ntyp = 3
/
ATOMIC_SPECIES
Pb 207.20 Pb.upf
Ga 69.72 Ga.upf
Ag 107.87 Ag.upf
ATOMIC_POSITIONS angstrom
Pb -0.319 5.660 4.066
Pb 1.994 1.997 0.613
Ga -2.591 3.353 3.915
Ga -2.666 5.180 1.850
Ag -0.361 4.205 0.767
Ag -0.285 2.288 2.942
CELL_PARAMETERS angstrom
4.610 0.088 -0.110
-2.403 5.398 -0.015
-2.207 0.446 5.552
! DOS at the Fermi energy = 2.37 states/eV per cell
! formation enthalpy at 0 K = 0.05 eV per atom
! M_tot = 0.0 μB/f.u.

# 4
! PrDy2Ir | Alexandria | PBE | relaxed; values from VASP
&SYSTEM
  ibrav = 0, nat = 8, ntyp = 3
/
ATOMIC_SPECIES
Pr 140.91 Pr.upf
Dy 162.50 Dy.upf
Ir 192.22 Ir.upf
ATOMIC_POSITIONS angstrom
Pr 1.475 1.349 5.765
Pr -4.778 3.076 4.107
Dy -1.228 3.777 5.593
Dy -2.075 0.648 4.279
Dy -3.830 5.111 7.310
Dy 0.527 -0.686 2.561
Ir -3.448 2.343 6.691
Ir 0.145 2.082 3.181
CELL_PARAMETERS angstrom
-0.252 -3.236 2.132
4.065 4.014 3.042
-7.117 3.648 4.697
! DOS at the Fermi energy = 10.21 states/eV per cell
! formation enthalpy at 0 K = -0.50 eV per atom
! M_tot = 0.0 μB/f.u.

# 5
! AsPb2W | Alexandria | PBE | relaxed; values from VASP
&SYSTEM
  ibrav = 0, nat = 4, ntyp = 3
/
ATOMIC_SPECIES
Pb 207.20 Pb.upf
As 74.92 As.upf
W 183.84 W.upf
ATOMIC_POSITIONS angstrom
Pb 0.000 0.000 0.000
Pb 1.793 2.638 0.000
As 0.000 2.638 2.398
W 1.793 0.000 2.398
CELL_PARAMETERS angstrom
3.585 0.000 0.000
0.000 5.276 0.000
0.000 0.000 4.797
! DOS at the Fermi energy = 3.81 states/eV per cell
! formation enthalpy at 0 K = 1.02 eV per atom
! M_tot = 1.0 μB/f.u.

# 6
! Pm2Mg5Cd4 | Alexandria | PBE | relaxed; values from VASP
&SYSTEM
  ibrav = 0, nat = 11, ntyp = 3
/
ATOMIC_SPECIES
Pm 145.00 Pm.upf
Mg 24.30 Mg.upf
Cd 112.41 Cd.upf
ATOMIC_POSITIONS angstrom
Pm 5.990 0.000 2.031
Pm 2.995 0.000 7.740
Mg 2.995 0.000 0.000
Mg 1.498 2.427 0.000
Mg 4.493 2.427 0.000
Mg 4.493 2.427 4.885
Mg 7.488 2.427 4.885
Cd 5.990 1.545 7.222
Cd 5.990 3.309 2.549
Cd 2.995 1.545 2.549
Cd 8.985 3.309 7.222
CELL_PARAMETERS angstrom
5.990 0.000 0.000
2.995 4.854 0.000
2.995 0.000 9.771
! DOS at the Fermi energy = 4.50 states/eV per cell
! formation enthalpy at 0 K = -0.11 eV per atom
! M_tot = 0.0 μB/f.u.

# 7
! LaPr2In2 | Alexandria | PBE | relaxed; values from VASP
&SYSTEM
  ibrav = 0, nat = 10, ntyp = 3
/
ATOMIC_SPECIES
La 138.91 La.upf
Pr 140.91 Pr.upf
In 114.82 In.upf
ATOMIC_POSITIONS angstrom
La -3.338 6.847 -3.030
La 1.801 7.753 2.053
Pr -3.413 4.052 -0.804
Pr 0.463 8.334 -2.035
Pr 1.876 10.548 -0.173
Pr -2.000 6.266 1.059
In -0.531 5.248 -2.026
In -1.188 11.399 -1.215
In -0.349 3.201 0.238
In -1.006 9.352 1.049
CELL_PARAMETERS angstrom
-0.438 4.677 -5.231
-4.742 1.537 1.770
3.643 8.387 2.484
! DOS at the Fermi energy = 10.14 states/eV per cell
! formation enthalpy at 0 K = -0.31 eV per atom
! M_tot = 0.0 μB/f.u.

# 8
! Hf5ScSb5 | Alexandria | PBE | relaxed; values from VASP
&SYSTEM
  ibrav = 0, nat = 11, ntyp = 3
/
ATOMIC_SPECIES
Hf 178.49 Hf.upf
Sc 44.96 Sc.upf
Sb 121.76 Sb.upf
ATOMIC_POSITIONS angstrom
Hf 2.820 1.309 2.750
Hf 2.820 -0.470 5.349
Hf 0.000 -1.170 3.888
Hf 0.000 4.418 2.427
Hf 0.000 2.639 5.025
Sc 0.000 0.000 0.000
Sb 2.820 3.767 1.288
Sb 2.820 2.485 5.348
Sb 2.820 0.000 0.000
Sb 0.000 1.463 2.428
Sb 0.000 0.180 6.488
CELL_PARAMETERS angstrom
5.639 0.000 0.000
-2.820 6.288 0.000
0.000 -2.340 7.776
! energy relative to the elements, uncorrected = -0.34 eV/atom
! DOS at the Fermi energy = 7.15 states/eV per cell
! M_tot = 0.0 μB/f.u.

# 9
! Pm3Ag4Pb4 | Alexandria | PBE | relaxed; values from VASP
&SYSTEM
  ibrav = 0, nat = 11, ntyp = 3
/
ATOMIC_SPECIES
Pm 145.00 Pm.upf
Ag 107.87 Ag.upf
Pb 207.20 Pb.upf
ATOMIC_POSITIONS angstrom
Pm 0.000 0.000 2.044
Pm 2.382 3.762 5.900
Pm 0.000 3.762 0.000
Ag 0.000 -1.473 5.224
Ag 2.382 2.289 2.720
Ag 2.382 5.235 2.720
Ag 0.000 1.473 5.224
Pb 0.000 3.762 3.414
Pb 2.382 0.000 4.529
Pb 2.382 6.002 0.000
Pb 2.382 1.521 0.000
CELL_PARAMETERS angstrom
4.765 0.000 0.000
0.000 7.523 0.000
-2.382 -3.762 7.943
! DOS at the Fermi energy = 3.08 states/eV per cell
! formation enthalpy at 0 K = -0.34 eV per atom
! M_tot = 0.0 μB/f.u.

# 10
! DyH4Pd3 | Alexandria | PBE | relaxed; values from VASP
&SYSTEM
  ibrav = 0, nat = 16, ntyp = 3
/
ATOMIC_SPECIES
Dy 162.50 Dy.upf
H 1.01 H.upf
Pd 106.42 Pd.upf
ATOMIC_POSITIONS angstrom
Dy 0.000 0.000 0.000
Dy -4.473 -1.588 -0.114
H -2.236 -0.794 -0.057
H -3.039 -3.188 -1.123
H -3.812 -1.244 2.140
H -4.615 -3.638 1.074
H -4.331 0.462 -1.302
H -5.906 0.013 0.896
H -5.133 -1.932 -2.368
H -6.709 -2.382 -0.171
Pd -1.591 -2.619 0.033
Pd -3.167 -3.069 2.230
Pd -2.623 0.178 1.575
Pd -2.496 0.059 -1.778
Pd -3.298 -2.335 -2.844
Pd -4.717 1.435 0.330
CELL_PARAMETERS angstrom
-4.188 2.513 -2.490
-1.605 -4.789 -2.132
-3.152 -0.900 4.394
! calculated total energy = -73.7 eV per cell
! DOS at the Fermi energy = 4.40 states/eV per cell
! M_tot = 0.0 μB/f.u.

# 11
! Nd8Sm3Dy2 | Alexandria | PBE | relaxed; values from VASP
&SYSTEM
  ibrav = 0, nat = 13, ntyp = 3
/
ATOMIC_SPECIES
Nd 144.24 Nd.upf
Sm 150.36 Sm.upf
Dy 162.50 Dy.upf
ATOMIC_POSITIONS angstrom
Nd -1.464 -4.953 -1.033
Nd 3.372 -6.787 4.580
Nd 1.329 -3.471 5.232
Nd 0.579 -8.269 -1.685
Nd 2.757 -8.170 1.329
Nd 5.503 -6.551 1.705
Nd -3.595 -5.189 1.842
Nd -0.849 -3.570 2.218
Sm -0.047 -0.582 2.843
Sm -1.899 -1.119 -0.260
Sm -4.725 -2.785 -0.648
Dy 2.514 -4.736 2.022
Dy -0.606 -7.004 1.525
CELL_PARAMETERS angstrom
-0.093 -1.165 5.687
-6.624 -3.904 -0.908
8.626 -6.671 -1.232
! DOS at the Fermi energy = 19.38 states/eV per cell
! formation enthalpy at 0 K = 0.21 eV per atom
! M_tot = 0.0 μB/f.u.

# 12
! InGe2Sb2Au7 | Alexandria | PBE | relaxed; values from VASP
&SYSTEM
  ibrav = 0, nat = 12, ntyp = 4
/
ATOMIC_SPECIES
In 114.82 In.upf
Ge 72.64 Ge.upf
Sb 121.76 Sb.upf
Au 196.97 Au.upf
ATOMIC_POSITIONS angstrom
In 0.000 0.000 0.000
Ge -6.538 -7.267 -9.025
Ge -1.705 -2.343 -3.852
Sb -2.677 -4.088 -7.419
Sb -5.566 -5.522 -5.457
Au 1.125 -0.022 -2.707
Au -3.563 -3.868 -4.612
Au -4.681 -5.741 -8.265
Au -0.796 -0.233 -5.081
Au 0.835 -2.566 -4.384
Au -9.078 -7.043 -8.492
Au -7.447 -9.376 -7.796
CELL_PARAMETERS angstrom
-0.507 2.314 -3.404
2.758 -2.357 -2.010
-10.494 -9.566 -7.463
! energy relative to the elements, uncorrected = -0.02 eV/atom
! DOS at the Fermi energy = 5.20 states/eV per cell
! M_tot = 0.0 μB/f.u.

# 13
! GeTe2Cl | Alexandria | PBE | relaxed; values from VASP
&SYSTEM
  ibrav = 0, nat = 8, ntyp = 3
/
ATOMIC_SPECIES
Ge 72.64 Ge.upf
Te 127.60 Te.upf
Cl 35.45 Cl.upf
ATOMIC_POSITIONS angstrom
Ge 0.000 0.000 0.000
Ge 7.562 3.781 2.230
Te 6.036 1.891 1.115
Te 1.526 5.672 1.115
Te 5.672 5.307 3.345
Te 9.453 9.817 3.345
Cl 3.781 3.781 0.000
Cl 3.781 7.562 2.230
CELL_PARAMETERS angstrom
7.562 0.000 0.000
0.000 7.562 0.000
3.781 3.781 4.460
! energy relative to the elements, uncorrected = 0.09 eV/atom
! DOS at the Fermi energy = 12.41 states/eV per cell
! M_tot = 0.0 μB/f.u.

# 14
! CaSm2Au | Alexandria | PBE | relaxed; values from VASP
&SYSTEM
  ibrav = 0, nat = 8, ntyp = 3
/
ATOMIC_SPECIES
Ca 40.08 Ca.upf
Sm 150.36 Sm.upf
Au 196.97 Au.upf
ATOMIC_POSITIONS angstrom
Ca 0.243 0.118 6.199
Ca -5.547 1.734 3.029
Sm -2.378 2.516 5.320
Sm -2.926 -0.664 3.908
Sm -5.563 3.343 6.677
Sm 0.260 -1.492 2.551
Au -4.528 0.459 6.196
Au -0.775 1.393 3.032
CELL_PARAMETERS angstrom
-0.311 -4.331 1.910
2.787 4.163 4.002
-7.779 2.020 3.315
! DOS at the Fermi energy = 10.75 states/eV per cell
! formation enthalpy at 0 K = -0.37 eV per atom
! M_tot = 0.0 μB/f.u.

# 15
! AgOs2Pt | Alexandria | PBE | relaxed; values from VASP
&SYSTEM
  ibrav = 0, nat = 4, ntyp = 3
/
ATOMIC_SPECIES
Os 190.23 Os.upf
Ag 107.87 Ag.upf
Pt 195.08 Pt.upf
ATOMIC_POSITIONS angstrom
Os 0.265 0.138 0.000
Os 4.306 2.233 0.000
Ag 3.187 -0.552 1.174
Pt 1.962 1.810 1.173
CELL_PARAMETERS angstrom
5.796 0.009 0.001
3.346 4.733 -0.001
-3.994 -3.485 2.347
! DOS at the Fermi energy = 2.56 states/eV per cell
! formation enthalpy at 0 K = 0.50 eV per atom
! M_tot = 0.0 μB/f.u.

# 16
! ScBe2Ir2 | Alexandria | PBE | relaxed; values from VASP
&SYSTEM
  ibrav = 0, nat = 10, ntyp = 3
/
ATOMIC_SPECIES
Sc 44.96 Sc.upf
Be 9.01 Be.upf
Ir 192.22 Ir.upf
ATOMIC_POSITIONS angstrom
Sc 0.000 0.000 0.000
Sc 3.324 3.324 0.000
Be 2.534 5.858 0.000
Be 5.858 4.114 0.000
Be 4.114 0.790 0.000
Be 0.790 2.534 0.000
Ir 1.129 4.452 1.441
Ir 4.452 5.519 1.441
Ir 5.519 2.195 1.441
Ir 2.195 1.129 1.441
CELL_PARAMETERS angstrom
6.648 0.000 0.000
0.000 6.648 0.000
0.000 0.000 2.882
! DOS at the Fermi energy = 2.95 states/eV per cell
! formation enthalpy at 0 K = -0.74 eV per atom
! M_tot = 0.0 μB/f.u.

# 17
! CsAl2ZnCl8 | Alexandria | PBE | relaxed; values from VASP
&SYSTEM
  ibrav = 0, nat = 12, ntyp = 4
/
ATOMIC_SPECIES
Cs 132.91 Cs.upf
Al 26.98 Al.upf
Zn 65.41 Zn.upf
Cl 35.45 Cl.upf
ATOMIC_POSITIONS angstrom
Cs 6.641 3.834 4.920
Al 3.321 1.917 2.384
Al 9.962 5.751 7.456
Zn 0.000 0.000 0.000
Cl 3.321 1.917 4.546
Cl 5.380 1.972 1.719
Cl 9.962 5.751 5.294
Cl 8.884 3.673 1.719
Cl 4.398 3.995 8.121
Cl 5.659 5.857 1.719
Cl 7.623 1.811 8.121
Cl 7.902 5.697 8.121
CELL_PARAMETERS angstrom
6.641 0.000 0.000
3.321 5.751 0.000
3.321 1.917 9.840
! energy relative to the elements, uncorrected = -1.44 eV/atom
! DOS at the Fermi energy = 1.08 states/eV per cell
! M_tot = 1.0 μB/f.u.

# 18
! NpMnTlI6 | Alexandria | PBE | relaxed; values from VASP
&SYSTEM
  ibrav = 0, nat = 18, ntyp = 4
/
ATOMIC_SPECIES
Np 237.00 Np.upf
Mn 54.94 Mn.upf
Tl 204.38 Tl.upf
I 126.90 I.upf
ATOMIC_POSITIONS angstrom
Np -2.086 -5.426 1.035
Np 3.462 -10.054 6.150
Mn -0.243 -3.558 4.705
Mn 1.620 -11.921 2.480
Tl 0.000 0.000 0.000
Tl 3.706 -6.496 1.445
I -2.752 -3.312 3.228
I -1.288 -1.703 6.707
I -1.033 -11.697 1.277
I 2.664 -13.776 0.478
I 0.530 -5.563 2.726
I -1.173 -5.705 6.456
I 0.563 -14.197 3.977
I 2.410 -3.783 5.908
I 2.549 -9.775 0.729
I 0.813 -1.283 3.208
I 0.847 -9.917 4.459
I 4.128 -12.167 3.957
CELL_PARAMETERS angstrom
-0.254 1.557 7.654
-5.782 -4.045 -3.358
7.412 -12.992 2.889
! energy relative to the elements, uncorrected = -0.65 eV/atom
! DOS at the Fermi energy = 17.05 states/eV per cell
! M_tot = 9.0 μB/f.u.

# 19
! AsP2Ir | Alexandria | PBE | relaxed; values from VASP
&SYSTEM
  ibrav = 0, nat = 4, ntyp = 3
/
ATOMIC_SPECIES
As 74.92 As.upf
Ir 192.22 Ir.upf
P 30.97 P.upf
ATOMIC_POSITIONS angstrom
As 3.140 -0.536 1.225
Ir 1.848 1.855 1.208
P 0.440 0.238 0.000
P 3.971 2.147 0.000
CELL_PARAMETERS angstrom
5.704 -0.006 0.018
3.118 4.776 -0.018
-3.835 -3.452 2.433
! DOS at the Fermi energy = 2.26 states/eV per cell
! formation enthalpy at 0 K = 0.33 eV per atom
! M_tot = 0.0 μB/f.u.

# 20
! NaFe2BAu | Alexandria | PBE | relaxed; values from VASP
&SYSTEM
  ibrav = 0, nat = 5, ntyp = 4
/
ATOMIC_SPECIES
Na 22.99 Na.upf
B 10.81 B.upf
Au 196.97 Au.upf
Fe 55.84 Fe.upf
ATOMIC_POSITIONS angstrom
Na 2.490 2.038 2.490
B 0.000 2.038 0.000
Au 0.000 0.000 0.000
Fe 0.000 0.000 2.490
Fe 2.490 0.000 0.000
CELL_PARAMETERS angstrom
4.980 0.000 0.000
0.000 4.076 0.000
0.000 0.000 4.980
! DOS at the Fermi energy = 5.49 states/eV per cell
! formation enthalpy at 0 K = 1.13 eV per atom
! M_tot = 6.5 μB/f.u.

# 21
! LaTbRuAu | Alexandria | PBE | relaxed; values from VASP
&SYSTEM
  ibrav = 0, nat = 4, ntyp = 4
/
ATOMIC_SPECIES
Ru 101.07 Ru.upf
Tb 158.93 Tb.upf
Au 196.97 Au.upf
La 138.91 La.upf
ATOMIC_POSITIONS angstrom
Ru 5.084 2.935 2.076
Tb 2.542 1.468 1.038
Au 0.000 0.000 0.000
La 7.627 4.403 3.114
CELL_PARAMETERS angstrom
5.084 0.000 0.000
2.542 4.403 0.000
2.542 1.468 4.151
! DOS at the Fermi energy = 2.96 states/eV per cell
! formation enthalpy at 0 K = -0.48 eV per atom
! M_tot = 0.0 μB/f.u.

# 22
! PmErSn2 | Alexandria | PBE | relaxed; values from VASP
&SYSTEM
  ibrav = 0, nat = 4, ntyp = 3
/
ATOMIC_SPECIES
Pm 145.00 Pm.upf
Sn 118.71 Sn.upf
Er 167.26 Er.upf
ATOMIC_POSITIONS angstrom
Pm -1.723 3.914 4.705
Sn -2.520 5.925 7.087
Sn -0.926 1.904 2.323
Er 0.000 0.000 0.000
CELL_PARAMETERS angstrom
-3.395 3.480 1.181
-2.094 0.011 4.543
2.043 4.338 3.686
! DOS at the Fermi energy = 2.41 states/eV per cell
! formation enthalpy at 0 K = -0.62 eV per atom
! M_tot = 0.0 μB/f.u.

# 23
! RbPaCuO4 | Alexandria | PBE | relaxed; values from VASP
&SYSTEM
  ibrav = 0, nat = 14, ntyp = 4
/
ATOMIC_SPECIES
Rb 85.47 Rb.upf
Pa 231.04 Pa.upf
Cu 63.55 Cu.upf
O 16.00 O.upf
ATOMIC_POSITIONS angstrom
Rb -1.690 -2.363 4.084
Rb 1.559 4.597 2.944
Pa -2.227 3.590 1.837
Pa -2.748 0.190 1.159
Cu -0.066 1.117 3.514
Cu 2.682 0.927 2.355
O -1.495 2.588 3.737
O 2.933 -3.089 4.177
O 0.592 -2.928 5.164
O -1.869 0.149 3.250
O 1.737 2.085 3.778
O -3.064 5.323 2.851
O -0.723 5.162 1.864
O 1.364 -0.354 3.292
CELL_PARAMETERS angstrom
-5.496 0.379 2.318
4.323 -4.946 3.355
1.041 6.801 1.356
! energy relative to the elements, uncorrected = -2.17 eV/atom
! M_tot = 1.0 μB/f.u.

# 24
! EuTmTh | Alexandria | PBE | relaxed; values from VASP
&SYSTEM
  ibrav = 0, nat = 3, ntyp = 3
/
ATOMIC_SPECIES
Eu 151.96 Eu.upf
Tm 168.93 Tm.upf
Th 232.04 Th.upf
ATOMIC_POSITIONS angstrom
Eu 0.007 0.022 -0.001
Tm 3.500 5.068 0.604
Th 1.096 2.971 1.932
CELL_PARAMETERS angstrom
-1.398 0.575 3.274
3.435 -1.049 -0.335
2.567 8.534 -0.403
! DOS at the Fermi energy = 4.44 states/eV per cell
! formation enthalpy at 0 K = 0.09 eV per atom
! M_tot = 7.7 μB/f.u.